# 1
Below is Cs2AgBrCl3 after structural relaxation, with properties calculated at the PBE level.

Lattice parameters (Å, degrees): 5.335 5.303 9.479 106.25 106.34 90.00
Atoms (fractional coordinates):
Cs (0.355, 0.355, 0.710)
Br (0.500, 0.000, 0.000)
Cl (0.847, 0.847, 0.695)
Cl (0.153, 0.153, 0.305)
Cs (0.645, 0.645, 0.290)
Cl (0.000, 0.500, 0.000)
Ag (0.000, 0.000, 0.000)

Summary:
The calculation puts the total magnetization at 0.00 μB per formula unit. Its symmetry is Immm, No. 71. The crystal system is orthorhombic.

# 2
Below is CsAgBrCl2 after structural relaxation, with properties calculated at the PBE level.

Lattice parameters (Å, degrees): 5.259 5.259 5.401 90.00 90.00 90.00
Atoms (fractional coordinates):
Cl (0.500, 0.000, 0.000)
Br (0.000, 0.000, 0.500)
Cl (0.000, 0.500, 0.000)
Ag (0.000, 0.000, 0.000)
Cs (0.500, 0.500, 0.500)

Summary:
The calculation puts the total magnetization at 0.00 μB per formula unit. Its symmetry is P4/mmm, No. 123. The crystal system is tetragonal.

Uncorrected formation energy, respectively: -1.271; -1.010 eV per atom.